No. 1
{"formula": "CsIn2Pt", "functional": "GGA-PBE", "state": "optimized geometry", "lattice_angstrom": [[4.7268, 0.0000, 0.0000], [2.3634, 4.0935, 0.0000], [2.3634, 1.3645, 8.2202]], "species": ["Pt", "In", "Cs", "In"], "fractional_positions": [[0.5000, 0.5000, 0.5000], [0.1443, 0.1443, 0.5671], [0.0000, 0.0000, 0.0000], [0.8557, 0.8557, 0.4329]], "rho_g_cm3": 5.8, "delta_e_f_ev_per_atom": -0.134, "sg": "No. 166"}



No. 2
{"formula": "Cs3InPt", "functional": "GGA-PBE", "state": "optimized geometry", "lattice_angstrom": [[-1.4681, 6.4062, -1.1775], [-4.7135, -1.8779, -4.3403], [-4.4955, -0.1231, 4.9353]], "species": ["In", "Cs", "Cs", "Cs", "Pt"], "fractional_positions": [[0.5000, 0.5000, 0.5000], [0.0000, 0.5000, 0.0000], [0.5000, 0.0000, 0.0000], [0.0000, 0.0000, 0.5000], [0.0000, 0.0000, 0.0000]], "rho_g_cm3": 4.0, "de_polymorph_ev_per_atom": 0.000, "delta_e_f_ev_per_atom": 0.189, "sg": "No. 221"}



No. 3
{"formula": "CsIn3Pt", "functional": "GGA-PBE", "state": "optimized geometry", "lattice_angstrom": [[-6.1845, 1.1345, 0.5429], [0.4892, -0.3398, 6.2829], [1.1587, 6.1990, 0.2451]], "species": ["In", "In", "Cs", "Pt", "In"], "fractional_positions": [[0.0000, 0.5000, 0.0000], [0.0000, 0.0000, 0.5000], [0.0000, 0.0000, 0.0000], [0.5000, 0.5000, 0.5000], [0.5000, 0.0000, 0.0000]], "rho_g_cm3": 4.4, "de_polymorph_ev_per_atom": 1.834, "delta_e_f_ev_per_atom": 1.588, "sg": "No. 221"}



No. 4
{"formula": "CsInPt", "functional": "GGA-PBE", "state": "optimized geometry", "lattice_angstrom": [[5.2491, 0.5528, -0.4392], [1.5708, 5.0389, -0.4392], [-0.7085, -0.5809, 10.8106]], "species": ["Cs", "Cs", "Pt", "In", "In", "Pt"], "fractional_positions": [[0.3235, 0.3235, 0.7100], [0.6765, 0.6765, 0.2900], [0.7543, 0.2457, 0.0000], [0.7343, 0.7343, 0.9421], [0.2657, 0.2657, 0.0579], [0.2457, 0.7543, 0.0000]], "rho_g_cm3": 5.4, "de_polymorph_ev_per_atom": 0.000, "delta_e_f_ev_per_atom": -0.302, "sg": "No. 12"}